The following is a DFT calculation (GGA-PBE) of an optimized crystal structure of PaNi2PN4.

As for the crystal system: tetragonal. For the total magnetic moment, the calculation gives 0.10 μB per atom. The value obtained for the formation energy (no corrections) is -625 meV/atom.

It has space group I-42m (No. 121), with a = 5.222 Å, b = 5.222 Å, c = 6.186 Å, α = 90.00°, β = 90.00° and γ = 90.00°. Symmetry generates all atoms from Pa at (0.000, 0.000, 0.000), Ni at (0.000, 0.500, 0.250), P at (0.000, 0.000, 0.500) and N at (0.181, 0.181, 0.659).